A plane-wave DFT calculation with PBE-GGA was carried out for crystalline Al2ZnAs at its relaxed geometry.

V: 71.6 Å³/cell
ΔE_f: 0.006 eV per atom
total moment: 0.0 μB/f.u.
energy above the lowest structure with this stoichiometry: 0.0 meV/atom
SG: Pmmm
D(E_F): 1.1 states/eV per cell

Unit cell a=3.585 b=2.681 c=7.445 alpha=89.99 beta=90.00 gamma=90.00
Element x y z (fractional)
1 As 0.500 0.250 0.250
2 Zn 0.500 0.750 0.750
3 Al 0.000 0.249 0.987
4 Al 0.000 0.251 0.513